[1]
VASP calculation (PBE-GGA) on a geometry-optimized Y4Ti2Cl structure.

Crystal system: tetragonal
Total DFT energy (no corrections): -84.50 eV/cell
Size of the total moment: 0.0 μB/f.u.

```
data_Y4Ti2Cl
_chemical_formula_sum 'Y8 Ti4 Cl2'
_space_group_name_H-M_alt 'I 4/m m m'
_space_group_IT_number 139
_space_group_name_Hall '-I 4 2'
_cell_length_a 5.372
_cell_length_b 5.372
_cell_length_c 13.765
_cell_angle_alpha 90.00
_cell_angle_beta 90.00
_cell_angle_gamma 90.00
loop_
_atom_site_label
_atom_site_type_symbol
_atom_site_fract_x
_atom_site_fract_y
_atom_site_fract_z
Y1 Y 0.000 0.000 0.198
Y2 Y 0.000 0.500 0.000
Ti1 Ti 0.000 0.000 0.409
Cl1 Cl 0.000 0.000 0.000
```



[2]
VASP calculation (PBE-GGA) on a geometry-optimized TiZnCl2 structure.

Crystal system: tetragonal
Total DFT energy (no corrections): -60.81 eV/cell
Relative energy among the computed polymorphs: 267.8 meV/atom
Size of the total moment: 2.0 μB/f.u.

```
data_TiZnCl2
_chemical_formula_sum 'Ti4 Zn4 Cl8'
_space_group_name_H-M_alt 'I -4 2 d'
_space_group_IT_number 122
_space_group_name_Hall 'I -4 2bw'
_cell_length_a 7.444
_cell_length_b 7.444
_cell_length_c 9.417
_cell_angle_alpha 90.00
_cell_angle_beta 90.00
_cell_angle_gamma 90.00
loop_
_atom_site_label
_atom_site_type_symbol
_atom_site_fract_x
_atom_site_fract_y
_atom_site_fract_z
Ti1 Ti 0.000 0.000 0.000
Zn1 Zn 0.000 0.000 0.500
Cl1 Cl 0.126 0.250 0.125
```



[3]
VASP calculation (PBE-GGA) on a geometry-optimized TiZn2Cl structure.

Crystal system: tetragonal
Total DFT energy (no corrections): -48.31 eV/cell
Relative energy among the computed polymorphs: 0.0 meV/atom
Size of the total moment: 1.8 μB/f.u.

```
data_TiZn2Cl
_chemical_formula_sum 'Ti4 Zn8 Cl4'
_space_group_name_H-M_alt 'I -4 2 d'
_space_group_IT_number 122
_space_group_name_Hall 'I -4 2bw'
_cell_length_a 7.861
_cell_length_b 7.861
_cell_length_c 5.007
_cell_angle_alpha 90.00
_cell_angle_beta 90.00
_cell_angle_gamma 90.00
loop_
_atom_site_label
_atom_site_type_symbol
_atom_site_fract_x
_atom_site_fract_y
_atom_site_fract_z
Ti1 Ti 0.000 0.000 0.000
Zn1 Zn 0.240 0.250 0.125
Cl1 Cl 0.000 0.000 0.500
```



[4]
VASP calculation (PBE-GGA) on a geometry-optimized TiZn3Cl structure.

Crystal system: cubic
Total DFT energy (no corrections): -9.52 eV/cell
Relative energy among the computed polymorphs: 164.2 meV/atom
Size of the total moment: 2.5 μB/f.u.

```
data_TiZn3Cl
_chemical_formula_sum 'Ti1 Zn3 Cl1'
_space_group_name_H-M_alt 'P m -3 m'
_space_group_IT_number 221
_space_group_name_Hall '-P 4 2 3'
_cell_length_a 4.825
_cell_length_b 4.825
_cell_length_c 4.825
_cell_angle_alpha 90.00
_cell_angle_beta 90.00
_cell_angle_gamma 90.00
loop_
_atom_site_label
_atom_site_type_symbol
_atom_site_fract_x
_atom_site_fract_y
_atom_site_fract_z
Ti1 Ti 0.000 0.000 0.000
Zn1 Zn 0.000 0.500 0.500
Cl1 Cl 0.500 0.500 0.500
```



| no. | DOS(E_F) (states/eV/atom) |
| --- | --- |
| 1 | 1.48 |
| 2 | 0.31 |
| 3 | 0.95 |
| 4 | 0.80 |